No. 1
{"formula": "LaPm2ScBi4", "functional": "GGA-PBE", "state": "optimized geometry", "rho_g_cm3": 8.20, "dft_energy_ha_per_atom": -0.199, "dos_at_fermi_per_ev_atom": 0.142, "cell": [[4.550, 0.000, 0.000], [0.000, 7.851, 0.132], [0.000, -2.750, 7.379]], "species": ["Bi", "Pm", "Bi", "Pm", "Bi", "Bi", "Sc", "La"], "frac_coords": [[0.500, 0.766, 0.762], [0.500, 0.000, 0.500], [0.000, 0.761, 0.247], [0.000, 0.500, 0.500], [0.500, 0.234, 0.238], [0.000, 0.239, 0.753], [0.000, 0.000, 0.000], [0.500, 0.500, 0.000]]}


No. 2
{"formula": "LaPm2ScBi5", "functional": "GGA-PBE", "state": "optimized geometry", "rho_g_cm3": 6.65, "dft_energy_ha_per_atom": -0.161, "dos_at_fermi_per_ev_atom": 0.846, "cell": [[-0.223, 5.572, -1.391], [-2.149, -1.372, -5.151], [-10.634, 0.640, 4.266]], "species": ["La", "Bi", "Bi", "Bi", "Sc", "Pm", "Bi", "Bi", "Pm"], "frac_coords": [[0.000, 0.000, 0.500], [0.000, 0.000, 0.764], [0.500, 0.500, 0.000], [0.000, 0.000, 0.236], [0.000, 0.000, 0.000], [0.500, 0.500, 0.701], [0.500, 0.000, 0.500], [0.000, 0.500, 0.500], [0.500, 0.500, 0.299]]}


No. 3
{"formula": "LaPmBiSe", "functional": "GGA-PBE", "state": "optimized geometry", "formation_energy_uncorrected_mev_per_atom": -1366, "rho_g_cm3": 7.53, "dos_at_fermi_per_ev_atom": 0.710, "cell": [[4.380, 0.000, 0.000], [-2.190, 3.793, 0.000], [-2.189, -1.264, 7.591]], "species": ["Bi", "Se", "Pm", "La"], "frac_coords": [[0.476, 0.136, 0.626], [0.127, 0.962, 0.104], [0.320, 0.558, 0.893], [0.955, 0.375, 0.346]]}


No. 4
{"formula": "LaPmSm2Bi4", "functional": "GGA-PBE", "state": "optimized geometry", "rho_g_cm3": 8.56, "dft_energy_ha_per_atom": -0.194, "dos_at_fermi_per_ev_atom": 0.134, "cell": [[4.605, 0.000, 0.000], [0.000, 7.965, -0.156], [0.000, 2.804, 7.460]], "species": ["Bi", "Bi", "Pm", "La", "Bi", "Bi", "Sm", "Sm"], "frac_coords": [[0.000, 0.247, 0.248], [0.000, 0.753, 0.752], [0.500, 0.500, 0.000], [0.000, 0.500, 0.500], [0.500, 0.245, 0.754], [0.500, 0.755, 0.246], [0.500, 0.000, 0.500], [0.000, 0.000, 0.000]]}


No. 5
{"formula": "LaPm2SmBi5", "functional": "GGA-PBE", "state": "optimized geometry", "rho_g_cm3": 7.29, "dft_energy_ha_per_atom": -0.161, "dos_at_fermi_per_ev_atom": 0.856, "cell": [[5.505, 0.000, 0.000], [0.000, 5.505, 0.000], [0.000, 0.000, 12.208]], "species": ["Pm", "Bi", "Bi", "Bi", "Bi", "Sm", "Bi", "Pm", "La"], "frac_coords": [[0.500, 0.500, 0.730], [0.000, 0.000, 0.249], [0.500, 0.500, 0.000], [0.000, 0.500, 0.500], [0.000, 0.000, 0.751], [0.000, 0.000, 0.500], [0.500, 0.000, 0.500], [0.500, 0.500, 0.270], [0.000, 0.000, 0.000]]}


No. 6
{"formula": "La2TbPmBi5", "functional": "GGA-PBE", "state": "optimized geometry", "rho_g_cm3": 7.48, "dft_energy_ha_per_atom": -0.168, "dos_at_fermi_per_ev_atom": 0.843, "cell": [[-1.667, 0.174, 5.202], [-4.826, -2.096, -1.476], [4.307, -11.154, 1.754]], "species": ["Bi", "Bi", "La", "Tb", "Bi", "Pm", "Bi", "Bi", "La"], "frac_coords": [[0.000, 0.000, 0.751], [0.000, 0.000, 0.249], [0.500, 0.500, 0.278], [0.000, 0.000, 0.500], [0.000, 0.500, 0.500], [0.000, 0.000, 0.000], [0.500, 0.000, 0.500], [0.500, 0.500, 0.000], [0.500, 0.500, 0.722]]}


Copy entry 4 word for word.
{"formula": "LaPmSm2Bi4", "functional": "GGA-PBE", "state": "optimized geometry", "rho_g_cm3": 8.56, "dft_energy_ha_per_atom": -0.194, "dos_at_fermi_per_ev_atom": 0.134, "cell": [[4.605, 0.000, 0.000], [0.000, 7.965, -0.156], [0.000, 2.804, 7.460]], "species": ["Bi", "Bi", "Pm", "La", "Bi", "Bi", "Sm", "Sm"], "frac_coords": [[0.000, 0.247, 0.248], [0.000, 0.753, 0.752], [0.500, 0.500, 0.000], [0.000, 0.500, 0.500], [0.500, 0.245, 0.754], [0.500, 0.755, 0.246], [0.500, 0.000, 0.500], [0.000, 0.000, 0.000]]}


> What is the formula in the sixth record?

La2TbPmBi5


> Number 2 is which compound?

LaPm2ScBi5